# K3Ge7HO20 | Alexandria via LeMat-Bulk | PBE | optimized geometry
# DFT total energy   -5.529 eV per atom
data_K3Ge7HO20
_chemical_formula_sum 'K9 Ge21 H3 O60'
_symmetry_space_group_name_H-M 'R 3 m'
_symmetry_Int_Tables_number 160
_symmetry_space_group_name_Hall 'R 3 -2"'
_cell_length_a 10.9673
_cell_length_b 10.9673
_cell_length_c 13.6367
_cell_angle_alpha 90.00
_cell_angle_beta 90.00
_cell_angle_gamma 120.00
loop_
_atom_site_label
_atom_site_type_symbol
_atom_site_fract_x
_atom_site_fract_y
_atom_site_fract_z
K1 K 0.1752 0.3505 0.0000
Ge1 Ge 0.0000 0.0000 0.5411
Ge2 Ge 0.1045 0.2091 0.7223
Ge3 Ge 0.1685 0.3369 0.5082
H1 H 0.0000 0.0000 0.7348
O1 O 0.0000 0.0000 0.0699
O2 O 0.0000 0.0000 0.8064
O3 O 0.0111 0.2688 0.8009
O4 O 0.0601 0.5300 0.9521
O5 O 0.0808 0.1616 0.4670
O6 O 0.1536 0.0768 0.6452
O7 O 0.1775 0.3550 0.6377

# K3GeH3S3O2 | Alexandria via LeMat-Bulk | PBE | optimized geometry
# DFT total energy   -4.483 eV per atom
data_K3GeH3S3O2
_chemical_formula_sum 'K6 Ge2 H6 S6 O4'
_symmetry_space_group_name_H-M 'P -1'
_symmetry_Int_Tables_number 2
_cell_length_a 6.7661
_cell_length_b 7.6031
_cell_length_c 10.1889
_cell_angle_alpha 87.77
_cell_angle_beta 81.57
_cell_angle_gamma 70.04
loop_
_symmetry_equiv_pos_as_xyz
'x,y,z'
'-x,-y,-z'
loop_
_atom_site_label
_atom_site_type_symbol
_atom_site_fract_x
_atom_site_fract_y
_atom_site_fract_z
K1 K 0.1089 0.3866 0.2241
K2 K 0.2569 0.8698 0.0662
K3 K 0.2646 0.7318 0.4521
Ge1 Ge 0.3072 0.1043 0.7257
H1 H 0.3523 0.0807 0.3803
H2 H 0.4411 0.4237 0.8248
H3 H 0.4456 0.6152 0.7689
S1 S 0.1782 0.8727 0.7529
S2 S 0.2148 0.2858 0.5543
S3 S 0.2353 0.2680 0.9119
O1 O 0.3971 0.0010 0.2982
O2 O 0.4557 0.5138 0.2153